DFT (GGA-PBE) results for an optimized crystal structure of PmZnSbPd.

Output
As for the calculated total energy: -4.414 eV/atom. The calculation puts the formation energy from raw total energies at -0.58 eV/atom.

a b c (Å): 4.9466 4.9466 4.9466
angles (deg): 60.00 60.00 60.00
With the nearest neighbours (Å) after each atom.
Positions (direct):
Pd (0.2500, 0.2500, 0.2500)  4 Pm 3.03, 4 Sb 3.03
Pm (0.0000, 0.0000, 0.0000)  4 Zn 3.03, 4 Pd 3.03
Sb (0.5000, 0.5000, 0.5000)  4 Pd 3.03, 4 Zn 3.03
Zn (0.7500, 0.7500, 0.7500)  4 Sb 3.03, 4 Pm 3.03

***

DFT (GGA-PBE) results for an optimized crystal structure of P2IrCCl.

Output
As for the calculated total energy: -4.774 eV/atom. The calculation puts the formation energy from raw total energies at 1.38 eV/atom.

a b c (Å): 3.9899 3.9899 4.1263
angles (deg): 90.00 90.00 90.00
With the nearest neighbours (Å) after each atom.
Positions (direct):
P (0.5000, 0.0000, 0.0000)  2 C 1.99
C (0.0000, 0.0000, 0.0000)  4 P 1.99, 2 Cl 2.06
Ir (0.5000, 0.5000, 0.5000)  4 Cl 2.82, 8 P 2.87
P (0.0000, 0.5000, 0.0000)  2 C 1.99
Cl (0.0000, 0.0000, 0.5000)  2 C 2.06

***

DFT (GGA-PBE) results for an optimized crystal structure of NdHoTm2Te6.

Output
As for the calculated total energy: -5.059 eV/atom. The calculation puts the formation energy from raw total energies at -1.35 eV/atom.

a b c (Å): 7.7151 7.7153 8.2985
angles (deg): 62.30 62.30 60.00
With the nearest neighbours (Å) after each atom.
Positions (direct):
Te (0.3968, 0.7343, 0.7500)  2 Tm 3.03-3.07, 1 Ho 3.10, 1 Nd 3.14
Tm (0.5091, 0.5091, 0.4728)  6 Te 3.04-3.07
Te (0.7343, 0.1190, 0.7500)  2 Tm 3.03-3.07, 1 Ho 3.10, 1 Nd 3.14
Nd (0.8191, 0.8191, 0.5429)  6 Te 3.14-3.21
Tm (0.0069, 0.0068, 0.9794)  6 Te 3.03-3.07
Te (0.1190, 0.3967, 0.7500)  2 Tm 3.03-3.07, 1 Ho 3.10, 1 Nd 3.14
Te (0.9104, 0.6052, 0.2456)  2 Tm 3.04-3.07, 1 Ho 3.07, 1 Nd 3.21
Te (0.2387, 0.9105, 0.2457)  2 Tm 3.04-3.07, 1 Ho 3.07, 1 Nd 3.21
Te (0.6052, 0.2387, 0.2457)  2 Tm 3.04-3.07, 1 Ho 3.07, 1 Nd 3.21
Ho (0.3222, 0.3223, 0.0332)  6 Te 3.07-3.10

***

DFT (GGA-PBE) results for an optimized crystal structure of K3Y2AlO6.

Output
As for the calculated total energy: -6.672 eV/atom. The calculation puts the formation energy from raw total energies at -2.53 eV/atom.

a b c (Å): 5.7685 5.7685 6.4960
angles (deg): 98.49 98.49 120.02
With the nearest neighbours (Å) after each atom.
Positions (direct):
Al (0.0000, 0.0000, 0.0000)  6 O 2.05
O (0.0591, 0.3591, 0.1777)  1 Al 2.05
O (0.7593, 0.7593, 0.1767)  1 Al 2.05
O (0.9409, 0.6409, 0.8223)  1 Al 2.05
K (0.5000, 0.5000, 0.5000)  6 O 2.71-2.92
O (0.3591, 0.0591, 0.1777)  1 Al 2.05
Y (0.6668, 0.3332, 0.0000)  6 O 2.31
O (0.6409, 0.9409, 0.8223)  1 Al 2.05
K (0.8369, 0.1631, 0.5000)  6 O 2.70-2.93
O (0.2407, 0.2407, 0.8233)  1 Al 2.05
K (0.1631, 0.8369, 0.5000)  6 O 2.70-2.93
Y (0.3332, 0.6668, 0.0000)  6 O 2.31

***

DFT (GGA-PBE) results for an optimized crystal structure of Pm2DyCd3.

Output
As for the calculated total energy: -3.125 eV/atom.

a b c (Å): 3.7950 3.7950 11.4508
angles (deg): 90.00 90.00 90.00
With the nearest neighbours (Å) after each atom.
Positions (direct):
Cd (0.0000, 0.0000, 0.3423)  4 Dy 3.23, 4 Pm 3.33, 1 Cd 3.61
Dy (0.5000, 0.5000, 0.5000)  8 Cd 3.23
Cd (0.0000, 0.0000, 0.6577)  4 Dy 3.23, 4 Pm 3.33, 1 Cd 3.61
Cd (0.0000, 0.0000, 0.0000)  8 Pm 3.31
Pm (0.5000, 0.5000, 0.1698)  8 Cd 3.31-3.33
Pm (0.5000, 0.5000, 0.8302)  8 Cd 3.31-3.33

***

DFT (GGA-PBE) results for an optimized crystal structure of NpSnP2.

Output
As for the calculated total energy: -7.221 eV/atom.

a b c (Å): 4.1465 4.1465 6.6345
angles (deg): 71.79 71.79 60.00
With the nearest neighbours (Å) after each atom.
Positions (direct):
P (0.0760, 0.0760, 0.7719)  3 Np 2.79, 3 Sn 2.83
Sn (0.4909, 0.4909, 0.5272)  6 P 2.83-3.14
Np (0.6656, 0.6656, 0.0033)  6 P 2.68-2.79
P (0.2675, 0.2675, 0.1976)  3 Np 2.68

***

DFT (GGA-PBE) results for an optimized crystal structure of Er7Sb2C2.

Output
As for the calculated total energy: -5.692 eV/atom. The calculation puts the formation energy from raw total energies at -0.36 eV/atom.

a b c (Å): 3.4529 9.3569 9.3569
angles (deg): 62.11 79.37 79.37
With the nearest neighbours (Å) after each atom.
Positions (direct):
C (0.7595, 0.8905, 0.5904)  5 Er 2.41-2.51
Er (0.1906, 0.7060, 0.9128)  1 C 2.51
Er (0.8094, 0.0872, 0.2940)  1 C 2.51
C (0.2405, 0.4096, 0.1095)  5 Er 2.41-2.51
Er (0.5000, 0.0194, 0.9806)  3 Sb 3.09-3.18, 2 Er 3.45
Sb (0.5000, 0.3491, 0.6509)  7 Er 3.18-3.26, 2 Sb 3.45
Er (0.1597, 0.0657, 0.6150)  2 C 2.44
Sb (0.0000, 0.7535, 0.2465)  8 Er 3.09-3.29, 2 Sb 3.45
Er (0.8403, 0.3850, 0.9343)  2 C 2.44
Er (0.3615, 0.7325, 0.5445)  2 C 2.41
Er (0.6385, 0.4555, 0.2675)  2 C 2.41

***

DFT (GGA-PBE) results for an optimized crystal structure of TlCoTeCl6.

Output
As for the calculated total energy: -3.209 eV/atom. The calculation puts the formation energy from raw total energies at -0.58 eV/atom.

a b c (Å): 7.2140 6.7351 6.9091
angles (deg): 88.54 87.48 57.79
With the nearest neighbours (Å) after each atom.
Positions (direct):
Cl (0.6442, 0.9806, 0.3018)  1 Co 2.52, 1 Te 2.59
Cl (0.9799, 0.6340, 0.6846)  1 Co 2.55, 1 Te 2.57
Cl (0.9518, 0.3902, 0.2785)  1 Co 2.32
Cl (0.3753, 0.9810, 0.7003)  1 Co 2.55, 1 Te 2.58
Cl (0.6578, 0.3904, 0.7203)  1 Co 2.32
Cl (0.3856, 0.6360, 0.3149)  1 Co 2.53, 1 Te 2.58
Tl (0.9925, 0.0142, 0.0005)  6 Cl 3.10-3.45
Te (0.3341, 0.3308, 0.5004)  4 Cl 2.57-2.59
Co (0.6785, 0.6428, 0.4987)  6 Cl 2.32-2.55

***

DFT (GGA-PBE) results for an optimized crystal structure of Pr3Si2HgPt9.

Output
As for the calculated total energy: -6.046 eV/atom. The calculation puts the formation energy from raw total energies at -0.72 eV/atom.

a b c (Å): 5.7537 5.7537 11.2006
angles (deg): 90.00 90.00 120.00
With the nearest neighbours (Å) after each atom.
Positions (direct):
Pt (0.6765, 0.8382, 0.2986)  1 Si 2.34
Si (0.3333, 0.6667, 0.1565)  6 Pt 2.34-2.41
Pr (0.0000, 0.0000, 0.0000)  6 Pt 2.88
Pr (0.3333, 0.6667, 0.6070)  6 Pt 3.07
Pt (0.8382, 0.6765, 0.7014)  1 Si 2.34
Pt (0.1618, 0.3235, 0.2986)  1 Si 2.34
Pt (0.1618, 0.8382, 0.2986)  1 Si 2.34
Pt (0.5000, 0.0000, 0.0000)  2 Si 2.41
Hg (0.0000, 0.0000, 0.5000)  6 Pt 2.77
Pr (0.6667, 0.3333, 0.3930)  6 Pt 3.07
Pt (0.3235, 0.1618, 0.7014)  1 Si 2.34
Pt (0.8382, 0.1618, 0.7014)  1 Si 2.34
Pt (0.0000, 0.5000, 0.0000)  2 Si 2.41
Si (0.6667, 0.3333, 0.8435)  6 Pt 2.34-2.41
Pt (0.5000, 0.5000, 0.0000)  2 Si 2.41

***

DFT (GGA-PBE) results for an optimized crystal structure of AgBi3I.

Output
As for the calculated total energy: -2.679 eV/atom. The calculation puts the formation energy from raw total energies at 0.53 eV/atom.

a b c (Å): 5.6111 5.6111 5.6111
angles (deg): 90.00 90.00 90.00
With the nearest neighbours (Å) after each atom.
Positions (direct):
I (0.5000, 0.5000, 0.5000)  12 Bi 3.97
Ag (0.0000, 0.0000, 0.0000)  6 Bi 2.81
Bi (0.5000, 0.0000, 0.0000)  2 Ag 2.81
Bi (0.0000, 0.5000, 0.0000)  2 Ag 2.81
Bi (0.0000, 0.0000, 0.5000)  2 Ag 2.81

***

DFT (GGA-PBE) results for an optimized crystal structure of HgBi2P.

Output
As for the calculated total energy: -3.212 eV/atom.

a b c (Å): 3.8880 3.8880 8.7582
angles (deg): 77.18 77.18 60.00
With the nearest neighbours (Å) after each atom.
Positions (direct):
P (0.6679, 0.6679, 0.9962)  6 Bi 2.84-2.90
Bi (0.2622, 0.2622, 0.2135)  3 P 2.90
Hg (0.4999, 0.4999, 0.5003)  6 Bi 3.31-3.32
Bi (0.0700, 0.0700, 0.7899)  3 P 2.84

***

DFT (GGA-PBE) results for an optimized crystal structure of CsHfCuRh2.

Output
As for the calculated total energy: -5.273 eV/atom.

a b c (Å): 4.9206 5.3999 4.9206
angles (deg): 90.00 90.00 90.00
With the nearest neighbours (Å) after each atom.
Positions (direct):
Rh (0.0000, 0.0000, 0.5000)  2 Hf 2.46
Hf (0.0000, 0.0000, 0.0000)  4 Rh 2.46, 2 Cu 2.70
Cu (0.0000, 0.5000, 0.0000)  2 Hf 2.70
Cs (0.5000, 0.5000, 0.5000)  4 Cu 3.48, 8 Rh 3.65
Rh (0.5000, 0.0000, 0.0000)  2 Hf 2.46

***

DFT (GGA-PBE) results for an optimized crystal structure of Pr6Dy5Y2.

Output
As for the calculated total energy: -4.870 eV/atom.

a b c (Å): 3.6461 11.8054 20.7619
angles (deg): 90.00 90.00 90.00
With the nearest neighbours (Å) after each atom.
Positions (direct):
Y (0.0000, 0.8347, 0.2108)  4 Pr 3.39-3.79, 6 Dy 3.57-3.72, 2 Y 3.65
Pr (0.0000, 0.0824, 0.3668)  1 Y 3.39, 6 Dy 3.45-3.54, 4 Pr 3.54-3.65
Dy (0.5000, 0.4062, 0.7261)  5 Pr 3.34-3.56, 4 Y 3.57-3.62, 2 Dy 3.65
Dy (0.5000, 0.6992, 0.5559)  6 Pr 3.54-3.75, 3 Dy 3.65-3.74, 2 Y 3.72
Dy (0.5000, 0.9062, 0.7739)  5 Pr 3.34-3.56, 4 Y 3.57-3.62, 2 Dy 3.65
Pr (0.5000, 0.1742, 0.6336)  2 Dy 3.34-3.45, 4 Pr 3.54-3.65, 2 Y 3.71
Y (0.0000, 0.1653, 0.7892)  4 Pr 3.39-3.79, 6 Dy 3.57-3.72, 2 Y 3.65
Dy (0.5000, 0.1992, 0.9441)  6 Pr 3.54-3.75, 3 Dy 3.65-3.74, 2 Y 3.72
Pr (0.0000, 0.9176, 0.6332)  1 Y 3.39, 6 Dy 3.45-3.54, 4 Pr 3.54-3.65
Pr (0.0000, 0.9408, 0.9198)  6 Dy 3.56-3.75, 5 Pr 3.61-3.80, 1 Y 3.79
Pr (0.0000, 0.5592, 0.4198)  6 Dy 3.56-3.75, 5 Pr 3.61-3.80, 1 Y 3.79
Pr (0.0000, 0.4408, 0.5802)  6 Dy 3.56-3.75, 5 Pr 3.61-3.80, 1 Y 3.79
Dy (0.5000, 0.5938, 0.2739)  5 Pr 3.34-3.56, 4 Y 3.57-3.62, 2 Dy 3.65
Dy (0.5000, 0.8008, 0.0559)  6 Pr 3.54-3.75, 3 Dy 3.65-3.74, 2 Y 3.72
Dy (0.5000, 0.0000, 0.5000)  6 Pr 3.45, 4 Dy 3.65-3.74
Dy (0.5000, 0.0938, 0.2261)  5 Pr 3.34-3.56, 4 Y 3.57-3.62, 2 Dy 3.65
Y (0.0000, 0.6653, 0.7108)  4 Pr 3.39-3.79, 6 Dy 3.57-3.72, 2 Y 3.65
Dy (0.5000, 0.5000, 0.0000)  6 Pr 3.45, 4 Dy 3.65-3.74
Y (0.0000, 0.3347, 0.2892)  4 Pr 3.39-3.79, 6 Dy 3.57-3.72, 2 Y 3.65
Pr (0.5000, 0.6742, 0.8664)  2 Dy 3.34-3.45, 4 Pr 3.54-3.65, 2 Y 3.71
Pr (0.0000, 0.0592, 0.0802)  6 Dy 3.56-3.75, 5 Pr 3.61-3.80, 1 Y 3.79
Pr (0.0000, 0.4176, 0.8668)  1 Y 3.39, 6 Dy 3.45-3.54, 4 Pr 3.54-3.65
Pr (0.5000, 0.8258, 0.3664)  2 Dy 3.34-3.45, 4 Pr 3.54-3.65, 2 Y 3.71
Dy (0.5000, 0.3008, 0.4441)  6 Pr 3.54-3.75, 3 Dy 3.65-3.74, 2 Y 3.72
Pr (0.5000, 0.3258, 0.1336)  2 Dy 3.34-3.45, 4 Pr 3.54-3.65, 2 Y 3.71
Pr (0.0000, 0.5824, 0.1332)  1 Y 3.39, 6 Dy 3.45-3.54, 4 Pr 3.54-3.65

***

DFT (GGA-PBE) results for an optimized crystal structure of YTiGa3.

Output
As for the calculated total energy: -4.773 eV/atom.

a b c (Å): 4.8392 4.8392 4.8392
angles (deg): 90.00 90.00 90.00
With the nearest neighbours (Å) after each atom.
Positions (direct):
Ga (0.0000, 0.0000, 0.5000)  2 Ti 2.42
Ga (0.5000, 0.0000, 0.0000)  2 Ti 2.42
Ti (0.0000, 0.0000, 0.0000)  6 Ga 2.42
Ga (0.0000, 0.5000, 0.0000)  2 Ti 2.42
Y (0.5000, 0.5000, 0.5000)  12 Ga 3.42

***

DFT (GGA-PBE) results for an optimized crystal structure of ZnFe2.

Output
As for the calculated total energy: -6.022 eV/atom.

a b c (Å): 4.4663 4.4663 4.4663
angles (deg): 147.45 129.41 61.46
With the nearest neighbours (Å) after each atom.
Positions (direct):
Fe (0.0005, 0.0005, 0.0000)  7 Fe 2.50-2.61, 5 Zn 2.56-2.62
Fe (0.6662, 0.6662, 0.0000)  7 Fe 2.50-2.61, 5 Zn 2.56-2.62
Zn (0.3333, 0.3333, 0.0000)  2 Zn 2.50, 10 Fe 2.56-2.62

***

DFT (GGA-PBE) results for an optimized crystal structure of NbTe2HN.

Output
As for the calculated total energy: -4.621 eV/atom.

a b c (Å): 5.2381 5.2381 2.9009
angles (deg): 90.00 90.00 90.00
With the nearest neighbours (Å) after each atom.
Positions (direct):
Te (0.0000, 0.5000, 0.0000)  2 H 2.62, 2 Te 2.90
H (0.0000, 0.0000, 0.0000)  2 N 1.45
N (0.0000, 0.0000, 0.5000)  2 H 1.45
Te (0.5000, 0.0000, 0.0000)  2 H 2.62, 2 Te 2.90
Nb (0.5000, 0.5000, 0.5000)  2 Nb 2.90, 8 Te 2.99

***

DFT (GGA-PBE) results for an optimized crystal structure of HfZrNpIr.

Output
As for the calculated total energy: -10.072 eV/atom.

a b c (Å): 4.7926 4.7926 4.7926
angles (deg): 60.00 60.00 60.00
With the nearest neighbours (Å) after each atom.
Positions (direct):
Ir (0.0000, 0.0000, 0.0000)  4 Hf 2.93, 4 Zr 2.93
Np (0.5000, 0.5000, 0.5000)  4 Hf 2.93, 4 Zr 2.93
Hf (0.7500, 0.7500, 0.7500)  4 Np 2.93, 4 Ir 2.93
Zr (0.2500, 0.2500, 0.2500)  4 Np 2.93, 4 Ir 2.93

***

DFT (GGA-PBE) results for an optimized crystal structure of Ca2ZnAs4Ir3.

Output
As for the calculated total energy: -5.562 eV/atom.

a b c (Å): 4.2676 4.2676 10.3961
angles (deg): 90.00 90.00 90.00
With the nearest neighbours (Å) after each atom.
Positions (direct):
Ir (0.0000, 0.5000, 0.1216)  5 As 2.45-2.48
As (0.5000, 0.5000, 0.0000)  4 Ir 2.48
As (0.0000, 0.5000, 0.3576)  3 Ir 2.45-2.60, 2 Zn 2.60
Ca (0.5000, 0.0000, 0.2493)  8 As 3.22-3.36, 6 Ir 3.30-3.37, 2 Zn 3.37
Ir (0.5000, 0.0000, 0.8784)  5 As 2.45-2.48
Zn (0.5000, 0.5000, 0.5000)  4 As 2.60
Ir (0.0000, 0.0000, 0.5000)  4 As 2.60
As (0.5000, 0.0000, 0.6424)  3 Ir 2.45-2.60, 2 Zn 2.60
Ca (0.0000, 0.5000, 0.7507)  8 As 3.22-3.36, 6 Ir 3.30-3.37, 2 Zn 3.37
As (0.0000, 0.0000, 0.0000)  4 Ir 2.48

***

DFT (GGA-PBE) results for an optimized crystal structure of NbMoRh.

Output
As for the calculated total energy: -9.548 eV/atom.

a b c (Å): 5.5795 4.1910 8.3506
angles (deg): 90.00 97.65 90.00
With the nearest neighbours (Å) after each atom.
Positions (direct):
Mo (0.6212, 0.5000, 0.1321)  3 Mo 2.70-2.87, 5 Rh 2.79-2.83, 4 Nb 2.94-3.00
Rh (0.8135, 0.0000, 0.9595)  5 Nb 2.67-2.81, 3 Mo 2.80-2.83, 2 Rh 2.85
Mo (0.4601, 0.0000, 0.2913)  5 Nb 2.69-2.84, 3 Mo 2.70-2.87
Mo (0.6212, 0.0000, 0.6321)  3 Mo 2.70-2.87, 5 Rh 2.79-2.83, 4 Nb 2.94-3.00
Nb (0.3079, 0.0000, 0.9532)  5 Mo 2.69-3.00, 5 Rh 2.72-2.98
Nb (0.3079, 0.5000, 0.4532)  5 Mo 2.69-3.00, 5 Rh 2.72-2.98
Rh (0.8135, 0.5000, 0.4595)  5 Nb 2.67-2.81, 3 Mo 2.80-2.83, 2 Rh 2.85
Rh (0.1172, 0.0000, 0.6023)  6 Nb 2.72-2.98, 2 Mo 2.79-2.81, 2 Rh 2.85
Nb (0.9489, 0.0000, 0.2790)  6 Rh 2.67-2.80, 4 Mo 2.74-2.94
Rh (0.1172, 0.5000, 0.1023)  6 Nb 2.72-2.98, 2 Mo 2.79-2.81, 2 Rh 2.85
Nb (0.9489, 0.5000, 0.7790)  6 Rh 2.67-2.80, 4 Mo 2.74-2.94
Mo (0.4601, 0.5000, 0.7913)  5 Nb 2.69-2.84, 3 Mo 2.70-2.87

***

DFT (GGA-PBE) results for an optimized crystal structure of Li2CaTl2.

Output
As for the calculated total energy: -2.330 eV/atom.

a b c (Å): 8.4305 8.4305 3.4916
angles (deg): 90.00 90.00 90.00
With the nearest neighbours (Å) after each atom.
Positions (direct):
Li (0.3388, 0.1612, 0.5000)  6 Tl 2.99-3.05
Tl (0.1349, 0.3651, 0.0000)  6 Li 2.99-3.05, 1 Tl 3.22, 2 Ca 3.28
Ca (0.5000, 0.5000, 0.0000)  4 Tl 3.28, 2 Ca 3.49, 8 Li 3.61
Tl (0.6349, 0.1349, 0.0000)  6 Li 2.99-3.05, 1 Tl 3.22, 2 Ca 3.28
Li (0.1612, 0.6612, 0.5000)  6 Tl 2.99-3.05
Ca (0.0000, 0.0000, 0.0000)  4 Tl 3.28, 2 Ca 3.49, 8 Li 3.61
Tl (0.8651, 0.6349, 0.0000)  6 Li 2.99-3.05, 1 Tl 3.22, 2 Ca 3.28
Tl (0.3651, 0.8651, 0.0000)  6 Li 2.99-3.05, 1 Tl 3.22, 2 Ca 3.28
Li (0.8388, 0.3388, 0.5000)  6 Tl 2.99-3.05
Li (0.6612, 0.8388, 0.5000)  6 Tl 2.99-3.05

***

| no. | size of the total moment (μB/f.u.) |
| --- | --- |
| 1 | 0.00 |
| 2 | 0.00 |
| 3 | 0.00 |
| 4 | 0.00 |
| 5 | 1.04 |
| 6 | 3.00 |
| 7 | 0.00 |
| 8 | 1.96 |
| 9 | 0.00 |
| 10 | 0.00 |
| 11 | 0.00 |
| 12 | 0.00 |
| 13 | 0.00 |
| 14 | 0.00 |
| 15 | 4.56 |
| 16 | 0.00 |
| 17 | 3.63 |
| 18 | 0.00 |
| 19 | 0.00 |
| 20 | 0.00 |